Record 1
# TmAsOs, optimized geometry, DFT PBE
# M_tot: 0.0 μB/cell
# Space-group type: F-43m (216)
# Electronic total energy: -20.8 eV per cell
data_TmAsOs
_cell_length_a 4.4442
_cell_length_b 4.4442
_cell_length_c 4.4442
_cell_angle_alpha 60.00
_cell_angle_beta 60.00
_cell_angle_gamma 60.00
_symmetry_space_group_name_H-M 'P 1'
_symmetry_Int_Tables_number 1
_symmetry_space_group_name_Hall 'P 1'
loop_
_atom_site_label
_atom_site_type_symbol
_atom_site_fract_x
_atom_site_fract_y
_atom_site_fract_z
_atom_site_occupancy
As1 As 0.2500 0.2500 0.2500 1
Os1 Os 0.0000 0.0000 0.0000 1
Tm1 Tm 0.7500 0.7500 0.7500 1

***

Record 2
# TmAs2Os, optimized geometry, DFT PBE
# M_tot: 0.0 μB/cell
# Space-group type: I-42d (122)
# Electronic total energy: -50.7 eV per cell
data_TmAs2Os
_cell_length_a 7.8152
_cell_length_b 7.8152
_cell_length_c 7.8152
_cell_angle_alpha 139.65
_cell_angle_beta 139.65
_cell_angle_gamma 58.39
_symmetry_space_group_name_H-M 'P 1'
_symmetry_Int_Tables_number 1
_symmetry_space_group_name_Hall 'P 1'
loop_
_atom_site_label
_atom_site_type_symbol
_atom_site_fract_x
_atom_site_fract_y
_atom_site_fract_z
_atom_site_occupancy
As1 As 0.8750 0.4439 0.0689 1
As2 As 0.5561 0.6250 0.4311 1
As3 As 0.1939 0.1250 0.5689 1
As4 As 0.3750 0.8061 0.9311 1
Os1 Os 0.5000 0.5000 0.0000 1
Os2 Os 0.2500 0.7500 0.5000 1
Tm1 Tm 0.0000 0.0000 0.0000 1
Tm2 Tm 0.7500 0.2500 0.5000 1

***

Record 3
# TmAsOs, optimized geometry, DFT PBE
# M_tot: 0.0 μB/cell
# Space-group type: F-43m (216)
# Electronic total energy: -18.8 eV per cell
data_TmAsOs
_cell_length_a 4.5479
_cell_length_b 4.5479
_cell_length_c 4.5479
_cell_angle_alpha 60.00
_cell_angle_beta 60.00
_cell_angle_gamma 60.00
_symmetry_space_group_name_H-M 'P 1'
_symmetry_Int_Tables_number 1
_symmetry_space_group_name_Hall 'P 1'
loop_
_atom_site_label
_atom_site_type_symbol
_atom_site_fract_x
_atom_site_fract_y
_atom_site_fract_z
_atom_site_occupancy
As1 As 0.2500 0.2500 0.2500 1
Os1 Os 0.7500 0.7500 0.7500 1
Tm1 Tm 0.0000 0.0000 0.0000 1

***

Record 4
# AsOs2W, optimized geometry, DFT PBE
# M_tot: 0.0 μB/cell
# Space-group type: F-43m (216)
# Electronic total energy: -37.9 eV per cell
data_AsOs2W
_cell_length_a 4.4093
_cell_length_b 4.4093
_cell_length_c 4.4093
_cell_angle_alpha 60.00
_cell_angle_beta 60.00
_cell_angle_gamma 60.00
_symmetry_space_group_name_H-M 'P 1'
_symmetry_Int_Tables_number 1
_symmetry_space_group_name_Hall 'P 1'
loop_
_atom_site_label
_atom_site_type_symbol
_atom_site_fract_x
_atom_site_fract_y
_atom_site_fract_z
_atom_site_occupancy
As1 As 0.5000 0.5000 0.5000 1
Os1 Os 0.0000 0.0000 0.0000 1
Os2 Os 0.7500 0.7500 0.7500 1
W1 W 0.2500 0.2500 0.2500 1